[1]
Computed, not measured: crystalline Er2ZnCr at its relaxed geometry at the GGA-PBE level of DFT.

Cell lengths 3.535, 3.535, 7.061 Å; angles 90.00, 90.00, 90.00 degrees
Sites, in units of the cell vectors:
1 Er 0.000 0.000 0.248
2 Er 0.000 0.000 0.752
3 Zn 0.500 0.500 0.500
4 Cr 0.500 0.500 0.000

Properties
ΔE to the lowest computed polymorph   0.0042 eV/atom
Spin magnetization   3.61 Bohr magnetons per cell
Final energy   -20.0 eV per cell
Theoretical density   8.51 g cm⁻³
Calculated volume   88 Å³/cell
DFT formation energy   0.003 eV per atom



[2]
Computed, not measured: crystalline SrReNi2 at its relaxed geometry at the GGA-PBE level of DFT.

Cell lengths 4.760, 4.760, 4.760 Å; angles 127.79, 112.87, 89.92 degrees
Sites, in units of the cell vectors:
1 Ni 0.564 0.564 0.000
2 Ni 0.936 0.936 0.000
3 Sr 0.250 0.750 0.500
4 Re 0.750 0.250 0.500

Properties
ΔE to the lowest computed polymorph   0.5962 eV/atom
Spin magnetization   0.53 Bohr magnetons per cell
Final energy   -22.7 eV per cell
Theoretical density   8.75 g cm⁻³
Calculated volume   74 Å³/cell
DFT formation energy   0.738 eV per atom